# 1
Density functional theory data (GGA-PBE) for crystalline ThZn2PRu2 at its relaxed geometry.

Cell: 4.3970 4.3970 5.6775 Å, 90.00 90.00 90.00°
Sites, in units of the cell vectors:
Ru  0.5000  0.0000  0.0000
Ru  0.0000  0.5000  0.0000
P  0.0000  0.0000  0.0000
Zn  0.5000  0.5000  0.2785
Zn  0.5000  0.5000  0.7215
Th  0.0000  0.0000  0.5000

Calculated values
DOS at the Fermi energy ... 0.604 states/eV per atom
Space-group type ... P4/mmm (123)
DFT total energy ... -6.04 eV/atom
E_form ... -0.380 eV per atom
Crystal system ... tetragonal

---

# 2
Density functional theory data (GGA-PBE) for crystalline TiPRu at its relaxed geometry.

Cell: 6.2573 6.2573 3.6788 Å, 90.00 90.00 120.00°
Sites, in units of the cell vectors:
Ti  0.5837  0.0000  0.5000
Ti  0.4163  0.4163  0.5000
Ti  0.0000  0.5837  0.5000
Ru  0.0000  0.2512  0.0000
Ru  0.7488  0.7488  0.0000
Ru  0.2512  0.0000  0.0000
P  0.6667  0.3333  0.0000
P  0.0000  0.0000  0.5000
P  0.3333  0.6667  0.0000

Calculated values
DOS at the Fermi energy ... 1.028 states/eV per atom
Space-group type ... P-62m (189)
DFT total energy ... -8.54 eV/atom
E_form ... -1.013 eV per atom
Crystal system ... hexagonal